DFT (GGA-PBE) results for a relaxed structure of BaLiNbNi. Values from VASP.

Structure (Quantum ESPRESSO input):
```
&SYSTEM
  ibrav = 0, nat = 4, ntyp = 4
/
ATOMIC_SPECIES
Li 6.94 Li.upf
Ni 58.69 Ni.upf
Nb 92.91 Nb.upf
Ba 137.33 Ba.upf
ATOMIC_POSITIONS angstrom
Li 5.2726 5.2726 5.2726
Ni 1.7575 1.7575 1.7575
Nb 0.0000 0.0000 0.0000
Ba 3.5151 3.5151 3.5151
CELL_PARAMETERS angstrom
0.0000 3.5151 3.5151
3.5151 0.0000 3.5151
3.5151 3.5151 0.0000
```

For the total energy, the calculation gives -4.08 eV per atom.